La2TaMo | Alexandria via LeMat-Bulk | PBE | optimized geometry; VASP energy = -29.6 eV per cell; M_tot = 0.00 μB per formula unit; energy relative to the lowest polymorph listed for this composition = 1.96 eV per formula unit; space-group type = C2/m (12); energy relative to the elements = 0.723 eV per atom
1.0
-4.057 2.309 3.777
0.331 -5.973 -0.518
1.221 -0.783 2.756
Ta Mo La
1 1 2
direct
0.000 0.500 0.500
0.500 0.000 0.500
0.500 0.500 0.000
0.000 0.000 0.000